Below is an optimized crystal structure of AlTcSeN2, with properties calculated at the GGA-PBE level.

Properties
* uncorrected formation energy: 0.992 eV per atom
* total energy: -5.857 eV/atom
* energy relative to the lowest polymorph listed for this composition: 2.76 eV per formula unit

a = 3.7756 Å, b = 3.7756 Å, c = 5.0658 Å
α = 90.00°, β = 90.00°, γ = 90.00°
Closest atoms and distances in Å follow each position.
Space group P4/mmm (No. 123)
Asymmetric unit:
Al (0.0000, 0.0000, 0.0000) (multiplicity 1)  4 N 1.89
Tc (0.5000, 0.5000, 0.5000) (multiplicity 1)  4 Se 2.67
Se (0.0000, 0.0000, 0.5000) (multiplicity 1)  2 Al 2.53, 4 Tc 2.67
N (0.0000, 0.5000, 0.0000) (multiplicity 2)  2 Al 1.89